The following is a DFT calculation (GGA-PBEsol) of Ca2NF after structural relaxation.

Cell lengths 4.855, 4.855, 6.152 Å; angles 113.24, 113.24, 90.00 degrees
Sites, in units of the cell vectors:
1 Ca 0.730 0.730 0.460
2 Ca 0.270 0.270 0.540
3 Ca 0.520 0.020 0.040
4 F 0.250 0.750 0.500
5 N 0.500 0.500 0.000
6 N 0.750 0.250 0.500
7 F 0.000 0.000 0.000
8 Ca 0.980 0.480 0.960

Calculated values
**SG**: No. 141
**Energy**: -46.5 eV for the cell shown
**ΔE_f (raw)**: -2.129 eV per atom

=====

The following is a DFT calculation (GGA-PBEsol) of LiMnF3 after structural relaxation.

Cell lengths 4.978, 5.323, 7.598 Å; angles 90.00, 90.00, 90.00 degrees
Last column: magnetic moment on the atom in μB.
Sites, in units of the cell vectors:
1 Mn 0.464 0.422 0.750  4.56
2 F 0.809 0.808 0.424  0.06
3 Li 0.000 0.500 0.000  0.00
4 F 0.691 0.308 0.076  0.06
5 Mn 0.036 0.922 0.750  4.56
6 F 0.309 0.692 0.924  0.06
7 F 0.309 0.692 0.576  0.06
8 F 0.853 0.564 0.750  0.06
9 Mn 0.536 0.578 0.250  4.56
10 Li 0.500 0.000 0.000  0.00
11 Mn 0.964 0.078 0.250  4.56
12 F 0.191 0.192 0.576  0.06
13 F 0.647 0.064 0.750  0.06
14 F 0.147 0.436 0.250  0.06
15 Li 0.500 0.000 0.500  0.00
16 F 0.809 0.808 0.076  0.06
17 F 0.691 0.308 0.424  0.06
18 F 0.191 0.192 0.924  0.06
19 F 0.353 0.936 0.250  0.06
20 Li 0.000 0.500 0.500  0.00

Calculated values
**Energy relative to the lowest polymorph listed for this composition**: 3 meV per atom
**SG**: No. 62
**Energy**: -120.4 eV for the cell shown
**ΔE_f (raw)**: -2.516 eV per atom